# Li5ZnNi (PBE-GGA, relaxed)
data_Li5ZnNi
_cell_length_a 7.0230
_cell_length_b 6.5919
_cell_length_c 9.6184
_cell_angle_alpha 90.00
_cell_angle_beta 98.26
_cell_angle_gamma 90.00
_space_group_name_H-M_alt 'C 1 2/c 1'
_space_group_IT_number 15
loop_
_space_group_symop_operation_xyz
'x,y,z'
'-x,-y,-z'
'-x,y,-z+1/2'
'x,-y,z+1/2'
'x+1/2,y+1/2,z'
'-x+1/2,-y+1/2,-z'
'-x+1/2,y+1/2,-z+1/2'
'x+1/2,-y+1/2,z+1/2'
loop_
_atom_site_label
_atom_site_fract_x
_atom_site_fract_y
_atom_site_fract_z
Li1 0.0000 0.1621 0.2500
Li2 0.1671 0.1420 0.5818
Li3 0.2188 0.1723 0.8788
Zn1 0.0000 0.4483 0.7500
Ni1 0.0000 0.5000 0.0000
# Density of states at the Fermi level (states/eV/cell): 11.1
# E (eV/atom): -2.40
# ρ (g/cm3): 2.39